Record 1
This record from Alexandria via LeMat-Bulk describes CeVB14 after structural relaxation. The functional is PBE-GGA.

Lattice parameters (Å, degrees): 5.8369 7.3872 7.3872 67.79 66.73 66.73
Site moments in Bohr magnetons follow the coordinates.
Positions (direct):
Ce: 0.2500 0.3814 0.1186  0.42
Ce: 0.7500 0.6186 0.8814  0.42
V: 0.5000 0.0000 0.5000  -0.02
V: 0.0000 0.0000 0.5000  -0.02
B: 0.6677 0.3622 0.3024  0.00
B: 0.3323 0.6378 0.6976  0.00
B: 0.1677 0.8024 0.8622  0.00
B: 0.8323 0.1976 0.1378  0.00
B: 0.1273 0.2409 0.5044  0.01
B: 0.8727 0.7591 0.4956  0.01
B: 0.6273 0.0044 0.7409  0.01
B: 0.3727 0.9956 0.2591  0.01
B: 0.0837 0.0852 0.7474  0.00
B: 0.9163 0.9148 0.2526  0.00
B: 0.5837 0.2474 0.5852  0.00
B: 0.4163 0.7526 0.4148  0.00
B: 0.7231 0.5984 0.2771  0.00
B: 0.5987 0.4016 0.7229  0.00
B: 0.2231 0.7771 0.0984  0.00
B: 0.0987 0.2229 0.9016  0.00
B: 0.2769 0.4016 0.7229  0.00
B: 0.4013 0.5984 0.2771  0.00
B: 0.7769 0.2229 0.9016  0.00
B: 0.9013 0.7771 0.0984  0.00
B: 0.3262 0.9720 0.8726  0.00
B: 0.1708 0.0280 0.1274  0.00
B: 0.8262 0.3726 0.4720  0.00
B: 0.6708 0.6274 0.5280  0.00
B: 0.6738 0.0280 0.1274  0.00
B: 0.8292 0.9720 0.8726  0.00
B: 0.1738 0.6274 0.5280  0.00
B: 0.3292 0.3726 0.4720  0.00

space-group type: No. 74
calculated total energy: -6.99 eV per atom
spin magnetization: 0.503 μB per formula unit
DFT formation energy: -4.830 kcal/mol of atoms

---

Record 2
This record from Alexandria via LeMat-Bulk describes CeB14W after structural relaxation. The functional is PBE-GGA.

Lattice parameters (Å, degrees): 5.8654 7.4745 7.4745 66.67 66.90 66.90
Site moments in Bohr magnetons follow the coordinates.
Positions (direct):
Ce: 0.2500 0.3736 0.1264  0.34
Ce: 0.7500 0.6264 0.8736  0.34
B: 0.6679 0.3625 0.3016  0.00
B: 0.3321 0.6375 0.6984  0.00
B: 0.1679 0.8016 0.8625  0.00
B: 0.8321 0.1984 0.1375  0.00
B: 0.1187 0.2520 0.5106  0.00
B: 0.8813 0.7480 0.4894  0.00
B: 0.6187 0.0106 0.7520  0.00
B: 0.3813 0.9894 0.2480  0.00
B: 0.0791 0.0925 0.7494  0.00
B: 0.9209 0.9075 0.2506  0.00
B: 0.5791 0.2494 0.5925  0.00
B: 0.4209 0.7506 0.4075  0.00
B: 0.7256 0.5966 0.2745  0.00
B: 0.5967 0.4034 0.7255  0.00
B: 0.2256 0.7745 0.0966  0.00
B: 0.0967 0.2255 0.9034  0.00
B: 0.2744 0.4034 0.7255  0.00
B: 0.4033 0.5966 0.2745  0.00
B: 0.7744 0.2255 0.9034  0.00
B: 0.9033 0.7745 0.0966  0.00
B: 0.3224 0.9738 0.8739  0.00
B: 0.1701 0.0262 0.1261  0.00
B: 0.8224 0.3739 0.4738  0.00
B: 0.6701 0.6261 0.5262  0.00
B: 0.6776 0.0262 0.1261  0.00
B: 0.8299 0.9738 0.8739  0.00
B: 0.1776 0.6261 0.5262  0.00
B: 0.3299 0.3739 0.4738  0.00
W: 0.5000 0.0000 0.5000  -0.01
W: 0.0000 0.0000 0.5000  -0.01

space-group type: No. 74
calculated total energy: -7.12 eV per atom
spin magnetization: 0.414 μB per formula unit
DFT formation energy: -2.317 kcal/mol of atoms

---

Record 3
This record from Alexandria via LeMat-Bulk describes Ce2B10W after structural relaxation. The functional is PBE-GGA.

Lattice parameters (Å, degrees): 4.1809 5.8033 11.5563 90.00 90.00 90.00
Positions (direct):
Ce: 0.5000 0.2739 0.8670
Ce: 0.5000 0.7261 0.1330
Ce: 0.5000 0.7739 0.6330
Ce: 0.5000 0.2261 0.3670
B: 0.0000 0.1146 0.5434
B: 0.0000 0.8854 0.4566
B: 0.0000 0.6146 0.9566
B: 0.0000 0.3854 0.0434
B: 0.0000 0.1194 0.6978
B: 0.0000 0.8806 0.3022
B: 0.3002 0.2348 0.1212
B: 0.3002 0.7652 0.8788
B: 0.6998 0.7348 0.3788
B: 0.6998 0.2652 0.6212
B: 0.6998 0.7652 0.8788
B: 0.6998 0.2348 0.1212
B: 0.3002 0.2652 0.6212
B: 0.3002 0.7348 0.3788
B: 0.0000 0.0743 0.1953
B: 0.0000 0.9257 0.8047
B: 0.0000 0.5743 0.3047
B: 0.0000 0.4257 0.6953
B: 0.0000 0.3806 0.1978
B: 0.0000 0.6194 0.8022
W: 0.0000 0.5000 0.5000
W: 0.0000 0.0000 0.0000

space-group type: No. 55
calculated total energy: -7.44 eV per atom
spin magnetization: 0.000 μB per formula unit
DFT formation energy: -9.186 kcal/mol of atoms

---

Record 4
This record from Alexandria via LeMat-Bulk describes CeBW after structural relaxation. The functional is PBE-GGA.

Lattice parameters (Å, degrees): 3.2391 5.3233 12.1328 87.67 82.33 72.29
Positions (direct):
B: 0.1759 0.5000 0.6481
B: 0.3241 0.5000 0.3519
B: 0.5741 0.0000 0.8519
B: 0.4259 0.0000 0.1481
W: 0.6180 0.5000 0.7640
W: 0.8820 0.5000 0.2360
W: 0.1320 0.0000 0.7360
W: 0.8680 0.0000 0.2640
Ce: 0.8852 0.2296 0.5000
Ce: 0.6148 0.7704 0.5000
Ce: 0.8648 0.2704 0.0000
Ce: 0.1352 0.7296 0.0000

space-group type: No. 70
calculated total energy: -8.16 eV per atom
spin magnetization: 0.001 μB per formula unit
DFT formation energy: 8.343 kcal/mol of atoms

---

Record 5
This record from Alexandria via LeMat-Bulk describes CeB3W after structural relaxation. The functional is PBE-GGA.

Lattice parameters (Å, degrees): 7.0561 6.1408 6.1408 70.00 90.00 90.00
Positions (direct):
Ce: 0.2500 0.0000 0.0000
Ce: 0.7500 0.0000 0.0000
Ce: 0.2500 0.5001 0.4999
Ce: 0.7500 0.4999 0.5001
B: 0.5000 0.3757 0.8106
B: 0.0000 0.1894 0.6242
B: 0.5000 0.6242 0.1894
B: 0.0000 0.8106 0.3757
B: 0.0000 0.6242 0.1894
B: 0.5000 0.8106 0.3758
B: 0.0000 0.3758 0.8106
B: 0.5000 0.1894 0.6242
B: 0.5000 0.3072 0.3072
B: 0.0000 0.6928 0.6928
B: 0.5000 0.6928 0.6928
B: 0.0000 0.3072 0.3072
W: 0.7500 0.5000 0.0000
W: 0.7500 0.0000 0.5000
W: 0.2500 0.5000 0.0000
W: 0.2500 0.0000 0.5000

space-group type: No. 65
calculated total energy: -7.75 eV per atom
spin magnetization: 0.000 μB per formula unit
DFT formation energy: 0.854 kcal/mol of atoms

---

Record 6
This record from Alexandria via LeMat-Bulk describes CeY2B6 after structural relaxation. The functional is PBE-GGA.

Lattice parameters (Å, degrees): 3.9575 5.6746 5.6746 120.00 90.00 90.00
Positions (direct):
Ce: 0.0000 0.0000 0.0000
Y: 0.0000 0.3333 0.6667
Y: 0.0000 0.6667 0.3333
B: 0.5000 0.3334 0.3334
B: 0.5000 0.6666 0.6666
B: 0.5000 0.0000 0.6666
B: 0.5000 0.6666 0.0000
B: 0.5000 0.3334 0.0000
B: 0.5000 0.0000 0.3334

space-group type: No. 191
calculated total energy: -7.05 eV per atom
spin magnetization: 0.000 μB per formula unit
DFT formation energy: -11.523 kcal/mol of atoms

---

Record 7
This record from Alexandria via LeMat-Bulk describes Ce2ZnB after structural relaxation. The functional is PBE-GGA.

Lattice parameters (Å, degrees): 3.4776 3.4776 9.7554 79.73 79.73 60.00
Site moments in Bohr magnetons follow the coordinates.
Positions (direct):
Zn: 0.0000 0.0000 0.0000  0.01
B: 0.5000 0.5000 0.5000  -0.03
Ce: 0.1134 0.1134 0.6597  0.39
Ce: 0.8866 0.8866 0.3403  0.39

space-group type: No. 166
calculated total energy: -4.68 eV per atom
spin magnetization: 1.015 μB per formula unit
DFT formation energy: 6.398 kcal/mol of atoms

---

Record 8
This record from Alexandria via LeMat-Bulk describes CeZrB after structural relaxation. The functional is PBE-GGA.

Lattice parameters (Å, degrees): 3.4249 5.1954 7.9395 121.82 90.00 109.24
Positions (direct):
Zr: 0.0911 0.1822 0.8834
Zr: 0.9089 0.8178 0.1166
Ce: 0.3243 0.6487 0.4157
Ce: 0.6757 0.3513 0.5843
B: 0.5980 0.1960 0.1118
B: 0.4020 0.8040 0.8882

space-group type: No. 12
calculated total energy: -7.27 eV per atom
spin magnetization: 0.000 μB per formula unit
DFT formation energy: -5.089 kcal/mol of atoms

---

Record 9
This record from Alexandria via LeMat-Bulk describes CeZr2B6 after structural relaxation. The functional is PBE-GGA.

Lattice parameters (Å, degrees): 3.7487 5.5816 5.5816 120.00 90.00 90.00
Positions (direct):
Ce: 0.0000 0.0000 0.0000
Zr: 0.0000 0.3333 0.6667
Zr: 0.0000 0.6667 0.3333
B: 0.5000 0.3381 0.3381
B: 0.5000 0.6619 0.6619
B: 0.5000 0.0000 0.6619
B: 0.5000 0.6619 0.0000
B: 0.5000 0.3381 0.0000
B: 0.5000 0.0000 0.3381

space-group type: No. 191
calculated total energy: -7.73 eV per atom
spin magnetization: 0.000 μB per formula unit
DFT formation energy: -16.613 kcal/mol of atoms

---

Record 10
This record from Alexandria via LeMat-Bulk describes BCl3 after structural relaxation. The functional is PBE-GGA.

Lattice parameters (Å, degrees): 6.9763 7.0215 7.0215 115.67 90.00 90.00
Positions (direct):
B: 0.7500 0.6859 0.3141
B: 0.2500 0.3141 0.6859
Cl: 0.2500 0.1673 0.8327
Cl: 0.7500 0.8327 0.1673
Cl: 0.2500 0.5894 0.8147
Cl: 0.7500 0.4106 0.1853
Cl: 0.2500 0.1853 0.4106
Cl: 0.7500 0.8147 0.5894

space-group type: No. 63
calculated total energy: -4.02 eV per atom
spin magnetization: 0.000 μB per formula unit
energy above the most stable polymorph in this dataset: 0.005 eV per atom
formation energy without anion corrections: -966 meV per atom

---

Record 11
This record from Alexandria via LeMat-Bulk describes BCl3 after structural relaxation. The functional is PBE-GGA.

Lattice parameters (Å, degrees): 6.9049 6.9049 6.9049 43.58 43.58 43.58
Positions (direct):
B: 0.0000 0.0000 0.0000
Cl: 0.5000 0.5000 0.5000
Cl: 0.9141 0.9141 0.9141
Cl: 0.0859 0.0859 0.0859

space-group type: No. 166
calculated total energy: -3.24 eV per atom
spin magnetization: 0.000 μB per formula unit
energy above the most stable polymorph in this dataset: 0.780 eV per atom
formation energy without anion corrections: -191 meV per atom

---

Record 12
This record from Alexandria via LeMat-Bulk describes BCl3 after structural relaxation. The functional is PBE-GGA.

Lattice parameters (Å, degrees): 4.8531 4.8531 4.8531 60.00 60.00 60.00
Site moments in Bohr magnetons follow the coordinates.
Positions (direct):
B: 0.0000 0.0000 0.0000  0.03
Cl: 0.2500 0.2500 0.2500  0.42
Cl: 0.7500 0.7500 0.7500  0.42
Cl: 0.5000 0.5000 0.5000  0.74

space-group type: No. 225
calculated total energy: -1.66 eV per atom
spin magnetization: 1.966 μB per formula unit
energy above the most stable polymorph in this dataset: 2.366 eV per atom
formation energy without anion corrections: 1395 meV per atom

---

Record 13
This record from Alexandria via LeMat-Bulk describes BCl3 after structural relaxation. The functional is PBE-GGA.

Lattice parameters (Å, degrees): 2.8903 6.6811 6.5556 120.64 102.74 90.00
Positions (direct):
B: 0.0000 0.0413 0.0000
Cl: 0.3712 0.7915 0.7424
Cl: 0.5000 0.2847 0.0000
Cl: 0.6288 0.0491 0.2576

space-group type: No. 44
calculated total energy: -2.95 eV per atom
spin magnetization: 0.000 μB per formula unit
energy above the most stable polymorph in this dataset: 1.080 eV per atom
formation energy without anion corrections: 109 meV per atom

---

Record 14
This record from Alexandria via LeMat-Bulk describes BCl3 after structural relaxation. The functional is PBE-GGA.

Lattice parameters (Å, degrees): 6.1552 6.1552 5.8696 58.38 58.38 90.00
Positions (direct):
B: 0.5000 0.5000 0.0000
B: 0.2500 0.7500 0.5000
Cl: 0.4847 0.1250 0.2500
Cl: 0.2653 0.6250 0.2500
Cl: 0.3750 0.5153 0.7500
Cl: 0.8750 0.7347 0.7500
Cl: 0.0000 0.0000 0.0000
Cl: 0.7500 0.2500 0.5000

space-group type: No. 122
calculated total energy: -2.84 eV per atom
spin magnetization: 0.000 μB per formula unit
energy above the most stable polymorph in this dataset: 1.182 eV per atom
formation energy without anion corrections: 211 meV per atom

---

Record 15
This record from Alexandria via LeMat-Bulk describes BCl3 after structural relaxation. The functional is PBE-GGA.

Lattice parameters (Å, degrees): 9.5809 9.5809 9.5809 18.76 18.76 18.76
Positions (direct):
B: 0.5000 0.5000 0.5000
Cl: 0.0000 0.0000 0.0000
Cl: 0.8778 0.8778 0.8778
Cl: 0.1222 0.1222 0.1222

space-group type: No. 166
calculated total energy: -2.54 eV per atom
spin magnetization: 0.000 μB per formula unit
energy above the most stable polymorph in this dataset: 1.484 eV per atom
formation energy without anion corrections: 513 meV per atom

---

Record 16
This record from Alexandria via LeMat-Bulk describes BCl3 after structural relaxation. The functional is PBE-GGA.

Lattice parameters (Å, degrees): 6.4804 6.4804 7.6557 90.00 90.00 120.00
Positions (direct):
B: 0.3333 0.6667 0.2500
B: 0.6667 0.3333 0.7500
Cl: 0.0687 0.3931 0.2500
Cl: 0.6756 0.0687 0.7500
Cl: 0.3931 0.3244 0.7500
Cl: 0.6069 0.6756 0.2500
Cl: 0.3244 0.9313 0.2500
Cl: 0.9313 0.6069 0.7500

space-group type: No. 176
calculated total energy: -4.03 eV per atom
spin magnetization: 0.000 μB per formula unit
energy above the most stable polymorph in this dataset: 0.000 eV per atom
formation energy without anion corrections: -971 meV per atom

---

Record 17
This record from Alexandria via LeMat-Bulk describes B4Cl after structural relaxation. The functional is PBE-GGA.

Lattice parameters (Å, degrees): 3.7247 3.7247 3.7247 90.00 90.00 90.00
Positions (direct):
B: 0.0000 0.0000 0.0000
B: 0.5000 0.0000 0.5000
B: 0.0000 0.5000 0.5000
B: 0.5000 0.5000 0.0000
Cl: 0.5000 0.5000 0.5000

space-group type: No. 221
calculated total energy: -2.72 eV per atom
spin magnetization: 0.000 μB per formula unit
formation energy without anion corrections: 2993 meV per atom

---

Record 18
This record from Alexandria via LeMat-Bulk describes Co2BCl after structural relaxation. The functional is PBE-GGA.

Lattice parameters (Å, degrees): 4.6567 4.6567 5.9105 66.80 66.80 90.00
Site moments in Bohr magnetons follow the coordinates.
Positions (direct):
B: 0.5000 0.5000 0.0000  -0.07
B: 0.2500 0.7500 0.5000  -0.07
Co: 0.5634 0.1250 0.2500  0.56
Co: 0.1866 0.6250 0.2500  0.55
Co: 0.3750 0.4366 0.7500  0.48
Co: 0.8750 0.8134 0.7500  0.44
Cl: 0.0000 0.0000 0.0000  0.06
Cl: 0.7500 0.2500 0.5000  0.06

space-group type: No. 122
calculated total energy: -5.31 eV per atom
spin magnetization: 0.998 μB per formula unit
energy above the most stable polymorph in this dataset: 0.000 eV per atom
formation energy without anion corrections: 378 meV per atom